# 1
First-principles (PBE) data for an optimized crystal structure of LaIn4Pd8, as listed in the Alexandria database.

Output
formation energy = -0.50 eV/atom
SG = I4/mmm, No. 139

Cell: 7.103 7.103 7.103 Å, 99.93 99.93 130.93°
Fractional coordinates of all 13 atoms:
La: 0.000 0.000 0.000
In: 0.000 0.000 0.500
In: 0.000 0.500 0.000
In: 0.500 0.000 0.000
In: 0.500 0.500 0.500
Pd: 0.000 0.342 0.342
Pd: 0.000 0.658 0.658
Pd: 0.278 0.500 0.778
Pd: 0.342 0.000 0.342
Pd: 0.500 0.278 0.778
Pd: 0.500 0.722 0.222
Pd: 0.658 0.000 0.658
Pd: 0.722 0.500 0.222


# 2
First-principles (PBE) data for an optimized crystal structure of AcZnSbRu, as listed in the Alexandria database.

Output
total energy = -4.746 eV per atom
SG = F-43m, No. 216

Cell: 5.029 5.029 5.029 Å, 60.00 60.00 60.00°
Fractional coordinates of all 4 atoms:
Ac: 0.000 0.000 0.000
Zn: 0.750 0.750 0.750
Sb: 0.500 0.500 0.500
Ru: 0.250 0.250 0.250


# 3
First-principles (PBE) data for an optimized crystal structure of FeCo, as listed in the Alexandria database.

Output
formation energy = 0.00 eV/atom
SG = Cccm, No. 66

Cell: 4.928 4.928 3.994 Å, 90.00 90.00 109.08°
Fractional coordinates of all 8 atoms:
Fe: 0.001 0.252 0.000
Fe: 0.252 0.001 0.500
Fe: 0.748 0.999 0.500
Fe: 0.999 0.748 0.000
Co: 0.250 0.496 0.500
Co: 0.496 0.250 0.000
Co: 0.504 0.750 0.000
Co: 0.750 0.504 0.500


# 4
First-principles (PBE) data for an optimized crystal structure of RbBaSmBr6, as listed in the Alexandria database.

Output
total energy = -3.927 eV per atom
SG = P-31c, No. 163

Cell: 8.098 8.098 14.252 Å, 90.00 90.00 120.00°
Fractional coordinates of all 18 atoms:
Rb: 0.000 0.000 0.000
Rb: 0.000 0.000 0.500
Ba: 0.333 0.667 0.250
Ba: 0.667 0.333 0.750
Sm: 0.333 0.667 0.750
Sm: 0.667 0.333 0.250
Br: 0.034 0.384 0.634
Br: 0.034 0.650 0.866
Br: 0.350 0.384 0.866
Br: 0.350 0.966 0.634
Br: 0.384 0.034 0.134
Br: 0.384 0.350 0.366
Br: 0.616 0.650 0.634
Br: 0.616 0.966 0.866
Br: 0.650 0.034 0.366
Br: 0.650 0.616 0.134
Br: 0.966 0.350 0.134
Br: 0.966 0.616 0.366


# 5
First-principles (PBE) data for an optimized crystal structure of CuSi2I2, as listed in the Alexandria database.

Output
SG = I4/mmm, No. 139
relative energy among the computed polymorphs = 0 meV/atom

Cell: 9.271 9.271 9.271 Å, 157.32 157.32 32.30°
Fractional coordinates of all 5 atoms:
Cu: 0.000 0.000 0.000
Si: 0.250 0.750 0.500
Si: 0.750 0.250 0.500
I: 0.401 0.401 0.000
I: 0.599 0.599 0.000


# 6
First-principles (PBE) data for an optimized crystal structure of Zr2TaP, as listed in the Alexandria database.

Output
formation energy = -0.29 eV/atom
SG = Imm2, No. 44

Cell: 5.543 5.543 5.543 Å, 144.17 129.35 63.59°
Fractional coordinates of all 4 atoms:
Zr: 0.000 0.000 0.000
Zr: 0.732 0.232 0.500
Ta: 0.262 0.762 0.500
P: 0.468 0.468 0.000


# 7
First-principles (PBE) data for an optimized crystal structure of RhPb2Au, as listed in the Alexandria database.

Output
formation energy = 0.34 eV/atom
SG = I-42d, No. 122

Cell: 7.791 7.791 7.791 Å, 132.82 132.82 68.94°
Fractional coordinates of all 8 atoms:
Rh: 0.000 0.000 0.000
Rh: 0.750 0.250 0.500
Pb: 0.097 0.625 0.972
Pb: 0.375 0.347 0.472
Pb: 0.653 0.125 0.028
Pb: 0.875 0.903 0.528
Au: 0.250 0.750 0.500
Au: 0.500 0.500 0.000


# 8
First-principles (PBE) data for an optimized crystal structure of BaNaNi3, as listed in the Alexandria database.

Output
formation energy = 1.51 eV/atom
SG = Pm-3m, No. 221
relative energy among the computed polymorphs = 510 meV/atom

Cell: 5.122 5.122 5.122 Å, 90.00 90.00 90.00°
Fractional coordinates of all 5 atoms:
Ba: 0.000 0.000 0.000
Na: 0.500 0.500 0.500
Ni: 0.000 0.000 0.500
Ni: 0.000 0.500 0.000
Ni: 0.500 0.000 0.000


# 9
First-principles (PBE) data for an optimized crystal structure of Sm3ZnC, as listed in the Alexandria database.

Output
formation energy = -0.12 eV/atom
SG = Pm-3m, No. 221
relative energy among the computed polymorphs = 67 meV/atom

Cell: 5.008 5.008 5.008 Å, 90.00 90.00 90.00°
Fractional coordinates of all 5 atoms:
Sm: 0.000 0.000 0.500
Sm: 0.000 0.500 0.000
Sm: 0.500 0.000 0.000
Zn: 0.500 0.500 0.500
C: 0.000 0.000 0.000


# 10
First-principles (PBE) data for an optimized crystal structure of KNaLiBi, as listed in the Alexandria database.

Output
formation energy = -0.39 eV/atom
SG = R3m, No. 160
relative energy among the computed polymorphs = 0 meV/atom

Cell: 6.824 6.824 6.824 Å, 44.38 44.38 44.38°
Fractional coordinates of all 4 atoms:
K: 0.000 0.000 0.000
Na: 0.809 0.809 0.809
Li: 0.537 0.537 0.537
Bi: 0.207 0.207 0.207


# 11
First-principles (PBE) data for an optimized crystal structure of GaS3Cl, as listed in the Alexandria database.

Output
SG = Pm-3m, No. 221
relative energy among the computed polymorphs = 1041 meV/atom

Cell: 4.725 4.725 4.725 Å, 90.00 90.00 90.00°
Fractional coordinates of all 5 atoms:
Ga: 0.000 0.000 0.000
S: 0.000 0.000 0.500
S: 0.000 0.500 0.000
S: 0.500 0.000 0.000
Cl: 0.500 0.500 0.500


# 12
First-principles (PBE) data for an optimized crystal structure of Na2MgAl2, as listed in the Alexandria database.

Output
formation energy = 0.22 eV/atom
SG = P4/mbm, No. 127
relative energy among the computed polymorphs = 0 meV/atom

Cell: 7.285 7.285 4.965 Å, 90.00 90.00 90.00°
Fractional coordinates of all 10 atoms:
Na: 0.171 0.329 0.000
Na: 0.329 0.829 0.000
Na: 0.671 0.171 0.000
Na: 0.829 0.671 0.000
Mg: 0.000 0.000 0.500
Mg: 0.500 0.500 0.500
Al: 0.127 0.627 0.500
Al: 0.373 0.127 0.500
Al: 0.627 0.873 0.500
Al: 0.873 0.373 0.500


# 13
First-principles (PBE) data for an optimized crystal structure of Ba2SrSb2, as listed in the Alexandria database.

Output
SG = P4/mbm, No. 127
relative energy among the computed polymorphs = 257 meV/atom

Cell: 9.585 9.585 4.269 Å, 90.00 90.00 90.00°
Fractional coordinates of all 10 atoms:
Ba: 0.125 0.375 0.000
Ba: 0.375 0.875 0.000
Ba: 0.625 0.125 0.000
Ba: 0.875 0.625 0.000
Sr: 0.000 0.000 0.000
Sr: 0.500 0.500 0.000
Sb: 0.177 0.677 0.500
Sb: 0.323 0.177 0.500
Sb: 0.677 0.823 0.500
Sb: 0.823 0.323 0.500


# 14
First-principles (PBE) data for an optimized crystal structure of ScAu, as listed in the Alexandria database.

Output
formation energy = -0.60 eV/atom
SG = R-3m, No. 166

Cell: 4.292 4.292 4.292 Å, 50.75 50.75 50.75°
Fractional coordinates of all 2 atoms:
Sc: 0.000 0.000 0.000
Au: 0.500 0.500 0.500


# 15
First-principles (PBE) data for an optimized crystal structure of SrTl2Te2, as listed in the Alexandria database.

Output
SG = I4/mmm, No. 139
relative energy among the computed polymorphs = 351 meV/atom

Cell: 6.555 6.555 6.555 Å, 124.27 124.27 82.76°
Fractional coordinates of all 5 atoms:
Sr: 0.000 0.000 0.000
Tl: 0.348 0.348 0.000
Tl: 0.652 0.652 0.000
Te: 0.250 0.750 0.500
Te: 0.750 0.250 0.500


# 16
First-principles (PBE) data for an optimized crystal structure of Be2S, as listed in the Alexandria database.

Output
SG = C2/m, No. 12
relative energy among the computed polymorphs = 166 meV/atom

Cell: 4.990 4.990 5.809 Å, 118.60 118.60 39.39°
Fractional coordinates of all 6 atoms:
Be: 0.170 0.170 0.480
Be: 0.281 0.281 0.217
Be: 0.719 0.719 0.783
Be: 0.830 0.830 0.520
S: 0.089 0.089 0.802
S: 0.911 0.911 0.198


# 17
First-principles (PBE) data for an optimized crystal structure of Dy5Ho3Er, as listed in the Alexandria database.

Output
formation energy = 0.14 eV/atom
SG = Imma, No. 74
relative energy among the computed polymorphs = 0 meV/atom

Cell: 10.390 10.390 10.390 Å, 139.49 68.20 127.67°
Fractional coordinates of all 18 atoms:
Dy: 0.157 0.318 0.336
Dy: 0.157 0.822 0.839
Dy: 0.303 0.053 0.250
Dy: 0.482 0.318 0.661
Dy: 0.482 0.822 0.164
Dy: 0.518 0.178 0.836
Dy: 0.518 0.682 0.339
Dy: 0.697 0.947 0.750
Dy: 0.843 0.178 0.161
Dy: 0.843 0.682 0.664
Ho: 0.000 0.000 0.500
Ho: 0.000 0.500 0.000
Ho: 0.183 0.749 0.435
Ho: 0.186 0.251 0.935
Ho: 0.814 0.749 0.065
Ho: 0.817 0.251 0.565
Er: 0.334 0.584 0.750
Er: 0.666 0.416 0.250


# 18
First-principles (PBE) data for an optimized crystal structure of BaNaSr3, as listed in the Alexandria database.

Output
formation energy = 0.66 eV/atom
SG = Pm-3m, No. 221
relative energy among the computed polymorphs = 621 meV/atom

Cell: 6.945 6.945 6.945 Å, 90.00 90.00 90.00°
Fractional coordinates of all 5 atoms:
Ba: 0.000 0.000 0.000
Na: 0.500 0.500 0.500
Sr: 0.000 0.000 0.500
Sr: 0.000 0.500 0.000
Sr: 0.500 0.000 0.000


# 19
First-principles (PBE) data for an optimized crystal structure of BaNb3In, as listed in the Alexandria database.

Output
formation energy = 1.63 eV/atom
SG = Pm-3m, No. 221
relative energy among the computed polymorphs = 0 meV/atom

Cell: 5.280 5.280 5.280 Å, 90.00 90.00 90.00°
Fractional coordinates of all 5 atoms:
Ba: 0.000 0.000 0.000
Nb: 0.000 0.500 0.500
Nb: 0.500 0.000 0.500
Nb: 0.500 0.500 0.000
In: 0.500 0.500 0.500


# 20
First-principles (PBE) data for an optimized crystal structure of ZnCd3Sn, as listed in the Alexandria database.

Output
formation energy = 0.07 eV/atom
SG = P-1, No. 2
relative energy among the computed polymorphs = 0 meV/atom

Cell: 5.487 6.285 7.429 Å, 115.01 101.15 90.01°
Fractional coordinates of all 10 atoms:
Zn: 0.000 0.000 0.000
Zn: 0.500 0.000 0.000
Cd: 0.133 0.806 0.613
Cd: 0.334 0.894 0.296
Cd: 0.335 0.402 0.296
Cd: 0.665 0.598 0.704
Cd: 0.666 0.106 0.704
Cd: 0.867 0.194 0.387
Sn: 0.213 0.428 0.859
Sn: 0.787 0.572 0.141


# 21
First-principles (PBE) data for an optimized crystal structure of Al2TcRh2, as listed in the Alexandria database.

Output
formation energy = -0.53 eV/atom
SG = P4/mbm, No. 127
relative energy among the computed polymorphs = 0 meV/atom

Cell: 7.105 7.105 2.806 Å, 90.00 90.00 90.00°
Fractional coordinates of all 10 atoms:
Al: 0.137 0.363 0.000
Al: 0.363 0.863 0.000
Al: 0.637 0.137 0.000
Al: 0.863 0.637 0.000
Tc: 0.000 0.000 0.000
Tc: 0.500 0.500 0.000
Rh: 0.162 0.662 0.500
Rh: 0.338 0.162 0.500
Rh: 0.662 0.838 0.500
Rh: 0.838 0.338 0.500


# 22
First-principles (PBE) data for an optimized crystal structure of SrCo2Sb, as listed in the Alexandria database.

Output
total energy = -5.140 eV per atom
SG = R-3m, No. 166

Cell: 5.948 5.948 5.948 Å, 43.25 43.25 43.25°
Fractional coordinates of all 4 atoms:
Sr: 0.000 0.000 0.000
Co: 0.182 0.182 0.182
Co: 0.818 0.818 0.818
Sb: 0.500 0.500 0.500


# 23
First-principles (PBE) data for an optimized crystal structure of Cr2NiP2, as listed in the Alexandria database.

Output
formation energy = -0.30 eV/atom
SG = P4/mbm, No. 127

Cell: 6.339 6.339 2.925 Å, 90.00 90.00 90.00°
Fractional coordinates of all 10 atoms:
Cr: 0.146 0.354 0.000
Cr: 0.354 0.854 0.000
Cr: 0.646 0.146 0.000
Cr: 0.854 0.646 0.000
Ni: 0.000 0.000 0.500
Ni: 0.500 0.500 0.500
P: 0.151 0.651 0.500
P: 0.349 0.151 0.500
P: 0.651 0.849 0.500
P: 0.849 0.349 0.500


# 24
First-principles (PBE) data for an optimized crystal structure of Dy5ErTh4, as listed in the Alexandria database.

Output
formation energy = 0.21 eV/atom
SG = C2/m, No. 12

Cell: 9.180 9.180 10.599 Å, 94.85 94.85 21.88°
Fractional coordinates of all 10 atoms:
Dy: 0.000 0.000 0.000
Dy: 0.311 0.311 0.903
Dy: 0.353 0.353 0.264
Dy: 0.647 0.647 0.736
Dy: 0.689 0.689 0.097
Er: 0.000 0.000 0.500
Th: 0.182 0.182 0.416
Th: 0.461 0.461 0.747
Th: 0.539 0.539 0.253
Th: 0.818 0.818 0.584